! TaBe2Zn PBEsol relaxed; values from VASP
! calculated formation energy: 0.02 eV/atom
&SYSTEM
  ibrav = 0, nat = 4, ntyp = 3
/
ATOMIC_SPECIES
Ta 180.95 Ta.upf
Be 9.01 Be.upf
Zn 65.41 Zn.upf
ATOMIC_POSITIONS crystal
Ta 0.000 0.000 0.000
Be 0.500 0.500 0.281
Be 0.500 0.500 0.719
Zn 0.000 0.000 0.500
CELL_PARAMETERS angstrom
2.744 0.000 0.000
0.000 2.744 0.000
0.000 0.000 6.330

---

! Li7Mn12Cu5O32 PBEsol relaxed; values from VASP
! energy relative to the elements, uncorrected: -90.59 eV per formula unit
&SYSTEM
  ibrav = 0, nat = 56, ntyp = 4
/
ATOMIC_SPECIES
Li 6.94 Li.upf
Mn 54.94 Mn.upf
Cu 63.55 Cu.upf
O 16.00 O.upf
ATOMIC_POSITIONS crystal
Li 0.000 0.000 0.000
Li 0.123 0.629 0.129
Li 0.129 0.123 0.629
Li 0.248 0.754 0.498
Li 0.498 0.248 0.754
Li 0.629 0.129 0.123
Li 0.754 0.498 0.248
Mn 0.001 0.499 0.502
Mn 0.003 0.253 0.255
Mn 0.248 0.499 0.754
Mn 0.253 0.255 0.003
Mn 0.255 0.003 0.253
Mn 0.499 0.502 0.001
Mn 0.499 0.754 0.248
Mn 0.502 0.001 0.499
Mn 0.751 0.752 0.998
Mn 0.752 0.998 0.751
Mn 0.754 0.248 0.499
Mn 0.998 0.751 0.752
Cu 0.368 0.883 0.869
Cu 0.384 0.384 0.384
Cu 0.618 0.618 0.618
Cu 0.869 0.368 0.883
Cu 0.883 0.869 0.368
O 0.005 0.483 0.277
O 0.010 0.510 0.742
O 0.019 0.256 0.027
O 0.027 0.019 0.256
O 0.226 0.734 0.754
O 0.233 0.498 0.525
O 0.242 0.242 0.242
O 0.246 0.270 0.777
O 0.256 0.027 0.019
O 0.262 0.492 0.991
O 0.270 0.777 0.246
O 0.277 0.005 0.483
O 0.477 0.505 0.768
O 0.483 0.277 0.005
O 0.492 0.991 0.262
O 0.498 0.525 0.233
O 0.505 0.768 0.477
O 0.510 0.742 0.010
O 0.518 0.997 0.726
O 0.525 0.233 0.498
O 0.726 0.518 0.997
O 0.734 0.754 0.226
O 0.742 0.010 0.510
O 0.747 0.981 0.975
O 0.754 0.226 0.734
O 0.759 0.759 0.759
O 0.768 0.477 0.505
O 0.777 0.246 0.270
O 0.975 0.747 0.981
O 0.981 0.975 0.747
O 0.991 0.262 0.492
O 0.997 0.726 0.518
CELL_PARAMETERS angstrom
5.735 3.311 4.682
-5.735 3.311 4.682
0.000 -6.622 4.682

---

! CrIrPt2 PBEsol relaxed; values from VASP
! calculated formation energy: -0.13 eV/atom
&SYSTEM
  ibrav = 0, nat = 4, ntyp = 3
/
ATOMIC_SPECIES
Cr 52.00 Cr.upf
Ir 192.22 Ir.upf
Pt 195.08 Pt.upf
ATOMIC_POSITIONS crystal
Cr 0.000 0.000 0.000
Ir 0.500 0.500 0.218
Pt 0.000 0.000 0.479
Pt 0.500 0.500 0.746
CELL_PARAMETERS angstrom
2.684 0.000 0.000
0.000 3.759 0.000
0.000 0.000 5.494

---

! NaTlCo2Se PBEsol relaxed; values from VASP
! energy relative to the elements, uncorrected: 5.74 eV per formula unit
&SYSTEM
  ibrav = 0, nat = 5, ntyp = 4
/
ATOMIC_SPECIES
Na 22.99 Na.upf
Tl 204.38 Tl.upf
Co 58.93 Co.upf
Se 78.96 Se.upf
ATOMIC_POSITIONS crystal
Na 0.000 0.000 0.000
Tl 0.500 0.500 0.500
Co 0.000 0.500 0.500
Co 0.500 0.000 0.500
Se 0.500 0.500 0.000
CELL_PARAMETERS angstrom
4.843 0.000 0.000
0.000 4.843 0.000
0.000 0.000 5.569

---

! RbCa2WSe PBEsol relaxed; values from VASP
! energy relative to the elements, uncorrected: 9.39 eV per formula unit
&SYSTEM
  ibrav = 0, nat = 5, ntyp = 4
/
ATOMIC_SPECIES
Rb 85.47 Rb.upf
Ca 40.08 Ca.upf
W 183.84 W.upf
Se 78.96 Se.upf
ATOMIC_POSITIONS crystal
Rb 0.000 0.000 0.000
Ca 0.000 0.500 0.000
Ca 0.500 0.000 0.000
W 0.000 0.000 0.500
Se 0.500 0.500 0.500
CELL_PARAMETERS angstrom
5.564 0.000 0.000
0.000 5.564 0.000
0.000 0.000 4.764

---

! Ag2OsBr PBEsol relaxed; values from VASP
! energy relative to the elements, uncorrected: 2.92 eV per formula unit
&SYSTEM
  ibrav = 0, nat = 8, ntyp = 3
/
ATOMIC_SPECIES
Ag 107.87 Ag.upf
Os 190.23 Os.upf
Br 79.90 Br.upf
ATOMIC_POSITIONS crystal
Ag 0.000 0.000 0.000
Ag 0.000 0.500 0.141
Ag 0.500 0.000 0.641
Ag 0.500 0.500 0.500
Os 0.000 0.500 0.691
Os 0.500 0.000 0.191
Br 0.000 0.000 0.356
Br 0.500 0.500 0.856
CELL_PARAMETERS angstrom
2.859 0.000 0.000
0.000 4.475 0.000
0.000 0.000 12.357

---

Number 1: E -5.51 eV/atom. Number 2: E -7.34 eV/atom. Number 3: E -8.62 eV/atom. Number 4: E -3.52 eV/atom. Number 5: E -2.71 eV/atom. Number 6: E -4.45 eV/atom.